Below is crystalline AgBiPb at its relaxed geometry, with properties calculated at the PBE-GGA level.

a b c (Å): 4.9978 4.9978 4.9978
angles (deg): 60.00 60.00 60.00
Atoms (fractional coordinates):
Pb 0.5000 0.5000 0.5000
Bi 0.0000 0.0000 0.0000
Ag 0.2500 0.2500 0.2500

Calculated values
* formation enthalpy at 0 K: 35 meV per atom
* DOS(E_F): 1.05 states/eV per cell
* electronic total energy: -3.446 eV/atom
* spin magnetization: 0.00 μB/atom
* offset from the most stable computed form: 0 meV/atom